Entry 1:
Entry from Alexandria: a relaxed Li2PrMgAg2 crystal (PBE-GGA).

Properties
symmetry	No. 164

Cell lengths 4.665, 4.665, 6.794 Å; angles 90.00, 90.00, 120.00 degrees
Fractional coordinates of all 6 atoms:
Li: 0.333 0.667 0.682
Li: 0.667 0.333 0.318
Pr: 0.000 0.000 0.000
Mg: 0.000 0.000 0.500
Ag: 0.333 0.667 0.282
Ag: 0.667 0.333 0.718

***

Entry 2:
Entry from Alexandria: a relaxed CoTeS crystal (PBE-GGA).

Properties
formation energy without anion corrections	-49	kJ/mol of formula units
energy above the lowest structure with this stoichiometry	0.0468	eV/atom
symmetry	No. 84

Cell lengths 3.740, 7.781, 7.781 Å; angles 90.00, 90.00, 90.00 degrees
Fractional coordinates of all 12 atoms:
Co: 0.500 0.753 0.196
Co: 0.500 0.247 0.804
Co: 0.000 0.196 0.247
Co: 0.000 0.804 0.753
Te: 0.500 0.809 0.528
Te: 0.000 0.472 0.809
Te: 0.000 0.528 0.191
Te: 0.500 0.191 0.472
S: 0.500 0.223 0.082
S: 0.000 0.918 0.223
S: 0.000 0.082 0.777
S: 0.500 0.777 0.918

***

Energy (computed, Ry/atom): -0.208; -0.365
Spin magnetization (computed, Bohr magnetons per cell): 0.00; 0.00